VASP calculation (GGA-PBE) on a geometry-optimized Pu2ZnTc structure.

Cell: 5.104 5.638 5.638 Å, 104.05 90.00 90.00°
Element x y z (fractional)
Tc (0.750, 0.866, 0.866)
Tc (0.250, 0.134, 0.134)
Zn (0.500, 0.500, 0.500)
Zn (0.000, 0.500, 0.500)
Pu (0.250, 0.642, 0.028)
Pu (0.750, 0.358, 0.972)
Pu (0.750, 0.972, 0.358)
Pu (0.250, 0.028, 0.642)

Properties
E	-10.140	eV/atom
space-group type	Cmcm (63)
ΔE_f	-64	meV per atom
size of the total moment	9.8	μB per formula unit
Fermi-level density of states	2.97	states/eV per atom
density	13747	kg/m3

***

VASP calculation (GGA-PBE) on a geometry-optimized Pu2ZnTc structure.

Cell: 4.018 4.450 4.450 Å, 90.00 90.00 90.00°
Element x y z (fractional)
Pu (0.000, 0.500, 0.000)
Pu (0.000, 0.000, 0.500)
Tc (0.500, 0.000, 0.000)
Zn (0.500, 0.500, 0.500)

Properties
E	-10.023	eV/atom
space-group type	P4/mmm (123)
ΔE_f	53	meV per atom
size of the total moment	9.6	μB per formula unit
Fermi-level density of states	2.16	states/eV per atom
density	13597	kg/m3

***

VASP calculation (GGA-PBE) on a geometry-optimized Pu2Zn15Tc2 structure.

Cell: 6.771 6.771 6.771 Å, 84.10 84.10 84.10°
Element x y z (fractional)
Zn (0.000, 0.709, 0.291)
Zn (0.651, 0.651, 0.151)
Zn (0.151, 0.651, 0.651)
Zn (0.000, 0.500, 0.000)
Zn (0.651, 0.151, 0.651)
Zn (0.000, 0.291, 0.709)
Zn (0.349, 0.349, 0.849)
Zn (0.349, 0.849, 0.349)
Zn (0.500, 0.000, 0.000)
Zn (0.709, 0.291, 0.000)
Zn (0.849, 0.349, 0.349)
Zn (0.000, 0.000, 0.500)
Zn (0.291, 0.000, 0.709)
Zn (0.709, 0.000, 0.291)
Zn (0.291, 0.709, 0.000)
Tc (0.092, 0.092, 0.092)
Tc (0.908, 0.908, 0.908)
Pu (0.660, 0.660, 0.660)
Pu (0.340, 0.340, 0.340)

Properties
E	-3.693	eV/atom
space-group type	R-3m (166)
ΔE_f	-87	meV per atom
size of the total moment	11.7	μB per formula unit
Fermi-level density of states	1.38	states/eV per atom
density	9041	kg/m3

***

VASP calculation (GGA-PBE) on a geometry-optimized Pu2ZnTc structure.

Cell: 2.515 2.515 10.251 Å, 90.00 90.00 90.00°
Element x y z (fractional)
Pu (0.000, 0.000, 0.255)
Pu (0.000, 0.000, 0.745)
Zn (0.500, 0.500, 0.500)
Tc (0.500, 0.500, 0.000)

Properties
E	-9.709	eV/atom
space-group type	P4/mmm (123)
ΔE_f	367	meV per atom
size of the total moment	0.0	μB per formula unit
Fermi-level density of states	1.91	states/eV per atom
density	16686	kg/m3

***

VASP calculation (GGA-PBE) on a geometry-optimized Pu2ZnTc structure.

Cell: 3.158 3.158 10.579 Å, 81.42 81.42 60.00°
Element x y z (fractional)
Tc (0.500, 0.500, 0.500)
Zn (0.000, 0.000, 0.000)
Pu (0.097, 0.097, 0.709)
Pu (0.903, 0.903, 0.291)

Properties
E	-9.734	eV/atom
space-group type	R-3m (166)
ΔE_f	342	meV per atom
size of the total moment	10.7	μB per formula unit
Fermi-level density of states	3.03	states/eV per atom
density	12022	kg/m3

***

VASP calculation (GGA-PBE) on a geometry-optimized Pu2ZrTc structure.

Cell: 3.158 3.158 10.563 Å, 81.40 81.40 60.00°
Element x y z (fractional)
Tc (0.500, 0.500, 0.500)
Zr (0.000, 0.000, 0.000)
Pu (0.903, 0.903, 0.290)
Pu (0.097, 0.097, 0.710)

Properties
E	-11.528	eV/atom
space-group type	R-3m (166)
ΔE_f	367	meV per atom
size of the total moment	10.1	μB per formula unit
Fermi-level density of states	3.45	states/eV per atom
density	12515	kg/m3

***

VASP calculation (GGA-PBE) on a geometry-optimized PuZr3Tc2 structure.

Cell: 3.299 3.299 11.131 Å, 90.00 90.00 90.00°
Element x y z (fractional)
Zr (0.000, 0.000, 0.291)
Zr (0.000, 0.000, 0.709)
Zr (0.000, 0.000, 0.000)
Tc (0.500, 0.500, 0.152)
Tc (0.500, 0.500, 0.848)
Pu (0.500, 0.500, 0.500)

Properties
E	-10.318	eV/atom
space-group type	P4/mmm (123)
ΔE_f	-200	meV per atom
size of the total moment	6.0	μB per formula unit
Fermi-level density of states	1.63	states/eV per atom
density	9782	kg/m3

***

VASP calculation (GGA-PBE) on a geometry-optimized PuZr4Tc5 structure.

Cell: 3.304 3.304 16.527 Å, 90.00 90.00 90.00°
Element x y z (fractional)
Tc (0.500, 0.500, 0.700)
Tc (0.500, 0.500, 0.300)
Tc (0.500, 0.500, 0.500)
Tc (0.500, 0.500, 0.902)
Tc (0.500, 0.500, 0.098)
Zr (0.000, 0.000, 0.401)
Zr (0.000, 0.000, 0.599)
Zr (0.000, 0.000, 0.796)
Zr (0.000, 0.000, 0.204)
Pu (0.000, 0.000, 0.000)

Properties
E	-10.308	eV/atom
space-group type	P4/mmm (123)
ΔE_f	-272	meV per atom
size of the total moment	3.5	μB per formula unit
Fermi-level density of states	1.27	states/eV per atom
density	10114	kg/m3

***

VASP calculation (GGA-PBE) on a geometry-optimized PuZrTc2 structure.

Cell: 3.317 3.317 6.665 Å, 90.00 90.00 90.00°
Element x y z (fractional)
Zr (0.500, 0.500, 0.000)
Tc (0.000, 0.000, 0.255)
Tc (0.000, 0.000, 0.745)
Pu (0.500, 0.500, 0.500)

Properties
E	-11.046	eV/atom
space-group type	P4/mmm (123)
ΔE_f	-143	meV per atom
size of the total moment	3.8	μB per formula unit
Fermi-level density of states	1.47	states/eV per atom
density	12033	kg/m3

***

VASP calculation (GGA-PBE) on a geometry-optimized PuZrTc4 structure.

Cell: 5.330 5.330 5.330 Å, 60.00 60.00 60.00°
Element x y z (fractional)
Tc (0.625, 0.625, 0.625)
Tc (0.126, 0.625, 0.625)
Tc (0.625, 0.126, 0.625)
Tc (0.625, 0.625, 0.126)
Pu (0.000, 0.000, 0.000)
Zr (0.250, 0.250, 0.250)

Properties
E	-10.809	eV/atom
space-group type	F-43m (216)
ΔE_f	-85	meV per atom
size of the total moment	5.2	μB per formula unit
Fermi-level density of states	2.01	states/eV per atom
density	11281	kg/m3

***

VASP calculation (GGA-PBE) on a geometry-optimized PuTe2 structure.

Cell: 4.431 4.431 8.941 Å, 90.00 90.00 90.00°
Element x y z (fractional)
Pu (0.500, 0.000, 0.276)
Pu (0.000, 0.500, 0.724)
Te (0.500, 0.500, 0.000)
Te (0.000, 0.000, 0.000)
Te (0.000, 0.500, 0.363)
Te (0.500, 0.000, 0.637)

Properties
E	-7.786	eV/atom
space-group type	P4/nmm (129)
formation energy without anion corrections	-0.91	eV/atom
size of the total moment	5.2	μB per formula unit
Fermi-level density of states	3.29	states/eV per atom
density	9443	kg/m3

***

VASP calculation (GGA-PBE) on a geometry-optimized Pu4Te structure.

Cell: 5.843 5.843 5.843 Å, 90.00 90.00 90.00°
Element x y z (fractional)
Pu (0.500, 0.500, 0.000)
Pu (0.500, 0.000, 0.500)
Pu (0.000, 0.000, 0.000)
Pu (0.000, 0.500, 0.500)
Te (0.500, 0.500, 0.500)

Properties
E	-11.591	eV/atom
space-group type	Pm-3m (221)
formation energy without anion corrections	0.50	eV/atom
size of the total moment	26.6	μB per formula unit
Fermi-level density of states	7.63	states/eV per atom
density	9185	kg/m3

***

VASP calculation (GGA-PBE) on a geometry-optimized Pu3Te4 structure.

Cell: 8.096 8.096 8.096 Å, 109.47 109.47 109.47°
Element x y z (fractional)
Pu (0.375, 0.125, 0.750)
Pu (0.125, 0.375, 0.250)
Pu (0.625, 0.750, 0.875)
Pu (0.250, 0.875, 0.125)
Pu (0.750, 0.625, 0.375)
Pu (0.875, 0.250, 0.625)
Te (0.850, 0.500, 0.000)
Te (0.650, 0.150, 0.150)
Te (0.350, 0.500, 0.000)
Te (0.500, 0.350, 0.500)
Te (0.500, 0.850, 0.500)
Te (0.000, 0.000, 0.350)
Te (0.150, 0.650, 0.650)
Te (0.000, 0.000, 0.850)

Properties
E	-9.041	eV/atom
space-group type	I-43d (220)
formation energy without anion corrections	-1.10	eV/atom
size of the total moment	16.0	μB per formula unit
Fermi-level density of states	4.12	states/eV per atom
density	10101	kg/m3

***

VASP calculation (GGA-PBE) on a geometry-optimized PuTe2 structure.

Cell: 4.020 4.020 5.911 Å, 109.83 109.83 90.02°
Element x y z (fractional)
Te (0.849, 0.849, 0.698)
Te (0.151, 0.151, 0.302)
Pu (0.500, 0.500, 0.000)

Properties
E	-7.674	eV/atom
space-group type	I4/mmm (139)
formation energy without anion corrections	-0.80	eV/atom
size of the total moment	5.1	μB per formula unit
Fermi-level density of states	3.17	states/eV per atom
density	9894	kg/m3

***

VASP calculation (GGA-PBE) on a geometry-optimized Pu3Te structure.

Cell: 3.825 5.307 6.169 Å, 115.47 108.06 90.00°
Element x y z (fractional)
Te (0.000, 0.995, 0.000)
Pu (0.500, 0.486, 0.000)
Pu (0.263, 0.606, 0.526)
Pu (0.737, 0.079, 0.474)

Properties
E	-11.813	eV/atom
space-group type	Imm2 (44)
formation energy without anion corrections	-0.28	eV/atom
size of the total moment	17.6	μB per formula unit
Fermi-level density of states	4.77	states/eV per atom
density	13445	kg/m3

***

VASP calculation (GGA-PBE) on a geometry-optimized Pu3Te structure.

Cell: 4.502 4.502 5.727 Å, 113.15 113.15 90.00°
Element x y z (fractional)
Te (0.000, 0.000, 0.000)
Pu (0.500, 0.500, 0.000)
Pu (0.250, 0.750, 0.500)
Pu (0.750, 0.250, 0.500)

Properties
E	-11.842	eV/atom
space-group type	I4/mmm (139)
formation energy without anion corrections	-0.31	eV/atom
size of the total moment	5.2	μB per formula unit
Fermi-level density of states	3.78	states/eV per atom
density	14790	kg/m3

***

VASP calculation (GGA-PBE) on a geometry-optimized PuTe structure.

Cell: 3.796 3.796 3.796 Å, 90.00 90.00 90.00°
Element x y z (fractional)
Te (0.500, 0.500, 0.500)
Pu (0.000, 0.000, 0.000)

Properties
E	-9.734	eV/atom
space-group type	Pm-3m (221)
formation energy without anion corrections	-1.00	eV/atom
size of the total moment	6.0	μB per formula unit
Fermi-level density of states	2.62	states/eV per atom
density	11285	kg/m3

***

VASP calculation (GGA-PBE) on a geometry-optimized Pu3Te structure.

Cell: 4.692 4.692 4.692 Å, 90.00 90.00 90.00°
Element x y z (fractional)
Pu (0.500, 0.500, 0.000)
Pu (0.500, 0.000, 0.500)
Pu (0.000, 0.500, 0.500)
Te (0.000, 0.000, 0.000)

Properties
E	-11.841	eV/atom
space-group type	Pm-3m (221)
formation energy without anion corrections	-0.31	eV/atom
size of the total moment	17.7	μB per formula unit
Fermi-level density of states	4.86	states/eV per atom
density	13816	kg/m3

***

VASP calculation (GGA-PBE) on a geometry-optimized PuTe4 structure.

Cell: 5.838 5.838 5.838 Å, 90.00 90.00 90.00°
Element x y z (fractional)
Te (0.500, 0.000, 0.500)
Te (0.500, 0.500, 0.000)
Te (0.000, 0.000, 0.000)
Te (0.000, 0.500, 0.500)
Pu (0.500, 0.500, 0.500)

Properties
E	-5.279	eV/atom
space-group type	Pm-3m (221)
formation energy without anion corrections	0.10	eV/atom
size of the total moment	5.5	μB per formula unit
Fermi-level density of states	2.59	states/eV per atom
density	6297	kg/m3

***

VASP calculation (GGA-PBE) on a geometry-optimized Pu5Te structure.

Cell: 4.069 4.940 7.429 Å, 109.42 90.00 90.00°
Element x y z (fractional)
Pu (0.000, 0.665, 0.330)
Pu (0.500, 0.237, 0.473)
Pu (0.500, 0.500, 0.000)
Pu (0.500, 0.763, 0.527)
Pu (0.000, 0.335, 0.670)
Te (0.000, 0.000, 0.000)

Properties
E	-12.593	eV/atom
space-group type	Cmmm (65)
formation energy without anion corrections	-0.13	eV/atom
size of the total moment	10.0	μB per formula unit
Fermi-level density of states	1.92	states/eV per atom
density	15891	kg/m3

***

VASP calculation (GGA-PBE) on a geometry-optimized PuTe structure.

Cell: 4.442 4.442 4.442 Å, 60.00 60.00 60.00°
Element x y z (fractional)
Te (0.500, 0.500, 0.500)
Pu (0.000, 0.000, 0.000)

Properties
E	-9.822	eV/atom
space-group type	Fm-3m (225)
formation energy without anion corrections	-1.08	eV/atom
size of the total moment	5.9	μB per formula unit
Fermi-level density of states	5.52	states/eV per atom
density	9957	kg/m3

***

VASP calculation (GGA-PBE) on a geometry-optimized PuTe structure.

Cell: 4.064 6.222 4.906 Å, 90.00 90.00 109.06°
Element x y z (fractional)
Te (0.878, 0.755, 0.250)
Te (0.122, 0.245, 0.750)
Pu (0.610, 0.220, 0.250)
Pu (0.390, 0.780, 0.750)

Properties
E	-9.741	eV/atom
space-group type	Cmcm (63)
formation energy without anion corrections	-1.00	eV/atom
size of the total moment	6.0	μB per formula unit
Fermi-level density of states	4.19	states/eV per atom
density	10526	kg/m3

***

VASP calculation (GGA-PBE) on a geometry-optimized PuTe structure.

Cell: 6.108 6.108 6.108 Å, 90.00 90.00 90.00°
Element x y z (fractional)
Te (0.912, 0.088, 0.588)
Te (0.588, 0.912, 0.088)
Te (0.088, 0.588, 0.912)
Te (0.412, 0.412, 0.412)
Pu (0.598, 0.402, 0.902)
Pu (0.098, 0.098, 0.098)
Pu (0.902, 0.598, 0.402)
Pu (0.402, 0.902, 0.598)

Properties
E	-9.662	eV/atom
space-group type	P2_13 (198)
formation energy without anion corrections	-0.92	eV/atom
size of the total moment	6.0	μB per formula unit
Fermi-level density of states	4.72	states/eV per atom
density	10832	kg/m3

***

VASP calculation (GGA-PBE) on a geometry-optimized Pu4Th3Te8 structure.

Cell: 8.904 8.883 8.883 Å, 89.78 120.29 120.29°
Element x y z (fractional)
Te (0.485, 0.744, 0.744)
Te (0.003, 0.747, 0.747)
Te (0.500, 0.753, 0.247)
Te (0.515, 0.256, 0.256)
Te (0.000, 0.256, 0.744)
Te (0.000, 0.744, 0.256)
Te (0.500, 0.247, 0.753)
Te (0.997, 0.253, 0.253)
Pu (0.500, 0.000, 0.000)
Pu (0.000, 0.000, 0.500)
Pu (0.000, 0.500, 0.000)
Pu (0.000, 0.000, 0.000)
Th (0.500, 0.500, 0.500)
Th (0.500, 0.500, 0.000)
Th (0.500, 0.000, 0.500)

Properties
E	-8.063	eV/atom
space-group type	C2/m (12)
formation energy without anion corrections	-1.08	eV/atom
size of the total moment	11.4	μB per formula unit
Fermi-level density of states	3.51	states/eV per atom
density	9061	kg/m3

***

VASP calculation (GGA-PBE) on a geometry-optimized Pu3ThTe4 structure.

Cell: 4.437 7.696 7.696 Å, 109.64 90.00 90.00°
Element x y z (fractional)
Pu (0.000, 0.500, 0.000)
Pu (0.000, 0.000, 0.500)
Pu (0.500, 0.500, 0.500)
Te (0.000, 0.255, 0.255)
Te (0.000, 0.745, 0.745)
Te (0.500, 0.252, 0.748)
Te (0.500, 0.748, 0.252)
Th (0.500, 0.000, 0.000)

Properties
E	-8.931	eV/atom
space-group type	Cmmm (65)
formation energy without anion corrections	-1.06	eV/atom
size of the total moment	5.9	μB per formula unit
Fermi-level density of states	4.34	states/eV per atom
density	9894	kg/m3

***

VASP calculation (GGA-PBE) on a geometry-optimized PuTh5Te5 structure.

Cell: 6.196 7.551 8.808 Å, 107.09 90.00 114.22°
Element x y z (fractional)
Th (0.000, 0.000, 0.500)
Th (0.338, 0.677, 0.651)
Th (0.662, 0.323, 0.349)
Th (0.368, 0.737, 0.236)
Th (0.632, 0.263, 0.764)
Te (0.182, 0.364, 0.856)
Te (0.500, 0.000, 0.000)
Te (0.835, 0.669, 0.679)
Te (0.165, 0.331, 0.321)
Te (0.818, 0.636, 0.144)
Pu (0.000, 0.000, 0.000)

Properties
E	-6.949	eV/atom
space-group type	C2/m (12)
formation energy without anion corrections	-0.84	eV/atom
size of the total moment	5.5	μB per formula unit
Fermi-level density of states	1.59	states/eV per atom
density	9532	kg/m3